# PmB2WO8 (PBE with a Hubbard U, optimized geometry)
# * E: -7.656 eV per atom
data_PmB2WO8
_chemical_formula_sum 'Pm1 B2 W1 O8'
_symmetry_space_group_name_H-M 'P 1'
_symmetry_Int_Tables_number 1
_symmetry_space_group_name_Hall 'P 1'
_cell_length_a 4.9571
_cell_length_b 4.9571
_cell_length_c 6.5935
_cell_angle_alpha 90.00
_cell_angle_beta 90.00
_cell_angle_gamma 120.00
loop_
_atom_site_label
_atom_site_fract_x
_atom_site_fract_y
_atom_site_fract_z
_atom_site_occupancy
Pm1 0.0000 0.0000 0.0000 1
B1 0.3333 0.6667 0.2399 1
B2 0.6667 0.3333 0.7601 1
W1 0.0000 0.0000 0.5000 1
O1 0.1727 0.3454 0.3148 1
O2 0.1727 0.8273 0.3148 1
O3 0.3333 0.6667 0.0195 1
O4 0.3454 0.1727 0.6852 1
O5 0.6546 0.8273 0.3148 1
O6 0.6667 0.3333 0.9805 1
O7 0.8273 0.1727 0.6852 1
O8 0.8273 0.6546 0.6852 1